## one
The following is a DFT calculation (PBE) of an optimized crystal structure of ThZr2Ge2.

Cell and atoms, written as extended XYZ:
```
5
Lattice="-3.8273 0.6872 -0.3760 -0.6675 -4.9139 -2.1865 1.2027 -1.3081 5.6645" Properties=species:S:1:pos:R:3 pbc="T T T"
Th -1.3123 -0.3104 2.6443
Ge -3.4987 -3.8241 -1.8174
Ge 0.2066 -1.7107 4.9194
Zr -3.3090 -1.7798 -0.0140
Zr 0.0169 -3.7550 3.1161
```

Output
Symmetry: C2/m (12)

## two
The following is a DFT calculation (PBE) of an optimized crystal structure of ThZr2Ge2.

Cell and atoms, written as extended XYZ:
```
10
Lattice="-2.2179 2.2519 6.4469 6.8066 -1.7271 1.4964 -0.1718 4.3816 -3.8351" Properties=species:S:1:pos:R:3 pbc="T T T"
Ge 1.6370 3.1446 -1.2299
Ge 2.7799 1.7618 5.3381
Ge -0.0999 1.7575 1.6876
Ge 4.5168 3.1489 2.4206
Zr 3.9980 -0.2483 3.8123
Zr -1.3107 3.7644 3.2094
Zr 5.7276 1.1420 0.8987
Zr 0.4189 5.1547 0.2959
Th 2.3230 0.6892 0.3584
Th 2.0938 4.2172 3.7497
```

Output
Symmetry: C2/c (15)

What should be chosen as the most stable of them? Choose one.

## one
The following is a DFT calculation (PBE) of an optimized crystal structure of Ti5Ge3.

Cell and atoms, written as extended XYZ:
```
16
Lattice="-6.3945 -1.3862 1.3553 -1.7067 1.8094 -6.2017 4.8482 -5.6597 0.6142" Properties=species:S:1:pos:R:3 pbc="T T T"
Ti 0.1137 -4.6033 1.0780
Ti -6.2545 -1.6543 -3.5083
Ti -1.8988 -3.9499 -1.7771
Ti 0.9890 -2.9287 -3.5791
Ti -3.3667 -0.6332 -5.3103
Ti -4.2419 -2.3077 -0.6532
Ti -4.0506 0.2116 -2.4232
Ti -1.3541 -1.2866 -2.4551
Ti 3.0016 -3.5821 -0.7239
Ti 0.0000 0.0000 0.0000
Ge 0.3988 -2.7240 -0.9045
Ge -2.5471 -0.2499 -0.3703
Ge -1.9768 0.9634 -3.7729
Ge -6.1244 -0.5402 -1.0735
Ge -3.6518 -2.5124 -3.3277
Ge -5.5540 0.6731 -4.4761
```

Output
Symmetry: I4/mcm (140)

## two
The following is a DFT calculation (PBE) of an optimized crystal structure of Ti5Ge3.

Cell and atoms, written as extended XYZ:
```
16
Lattice="7.5813 0.0000 0.0000 -3.7907 6.5656 0.0000 0.0000 0.0000 5.2108" Properties=species:S:1:pos:R:3 pbc="T T T"
Ti 3.7907 2.1885 2.6054
Ti -2.8396 4.9183 3.9081
Ti 0.9511 1.6473 3.9081
Ti 0.0000 4.3771 2.6054
Ti 0.0000 4.3771 0.0000
Ti -0.9511 1.6473 1.3027
Ti 3.7907 2.1885 0.0000
Ti 5.6792 0.0000 3.9081
Ti 2.8396 4.9183 1.3027
Ti 1.9021 0.0000 1.3027
Ge 2.3143 4.0085 3.9081
Ge -1.4763 2.5571 3.9081
Ge 1.4763 2.5571 1.3027
Ge 2.9527 0.0000 3.9081
Ge 4.6286 0.0000 1.3027
Ge -2.3143 4.0085 1.3027
```

Output
Symmetry: P6_3/mcm (193)

What should be chosen as the most stable of them? Choose two.

## one
The following is a DFT calculation (PBE) of an optimized crystal structure of Ti4Ge.

Cell and atoms, written as extended XYZ:
```
10
Lattice="-2.0065 2.5067 3.1304 -4.8510 -1.4341 -1.9610 3.3122 -5.7609 3.5243" Properties=species:S:1:pos:R:3 pbc="T T T"
Ti -1.2353 -1.3680 0.3037
Ti -3.4287 0.5363 0.5847
Ti -1.0682 -0.8246 3.1876
Ti -0.0890 -3.1576 2.4715
Ti -3.4563 -1.5306 2.2222
Ti -1.0033 1.2534 1.5652
Ti -2.4771 -3.8636 1.5061
Ti -2.3100 -3.3202 4.3900
Ge -3.6643 -2.2447 -0.5512
Ge 0.1190 -2.4435 5.2449
```

Output
Symmetry: Imma (74)

## two
The following is a DFT calculation (PBE) of an optimized crystal structure of Ti4Ge.

Cell and atoms, written as extended XYZ:
```
5
Lattice="-0.2716 -4.0866 -2.3214 0.4637 -2.3373 4.0602 -4.6770 0.0056 0.5374" Properties=species:S:1:pos:R:3 pbc="T T T"
Ti -2.1066 -1.1658 2.2988
Ti 0.0000 0.0000 0.0000
Ti -2.4743 -2.0405 -0.8920
Ti 0.0961 -3.2119 0.8694
Ge -2.2424 -3.2091 1.1381
```

Output
Symmetry: Pm-3m (221)

What should be chosen as the most stable of them? Choose one.

## one
The following is a DFT calculation (PBE) of an optimized crystal structure of TiTlGe.

Cell and atoms, written as extended XYZ:
```
6
Lattice="3.5182 0.0000 -0.0021 0.0000 3.6502 0.0000 -1.6111 0.0000 10.3899" Properties=species:S:1:pos:R:3 pbc="T T T"
Ti -0.7038 2.7377 9.3997
Ti 2.6109 0.9126 0.9881
Ge 1.0674 0.9126 8.7732
Ge 0.8397 2.7377 1.6146
Tl 0.1481 2.7377 6.4028
Tl 1.7590 0.9126 3.9850
```

Output
Symmetry: P2_1/m (11)

## two
The following is a DFT calculation (PBE) of an optimized crystal structure of TiTlGe.

Cell and atoms, written as extended XYZ:
```
12
Lattice="-1.6004 -5.3471 2.1600 1.0782 -3.3390 -7.4670 5.9579 1.8681 0.0249" Properties=species:S:1:pos:R:3 pbc="T T T"
Ti 3.7459 -1.4413 -5.2995
Ti 3.2901 -0.0296 -2.1426
Ti 0.8502 -2.6331 -5.8885
Ti 0.2279 -0.7058 -1.5785
Ge 5.2946 -0.1842 -3.7110
Ge 0.1411 -6.6338 -1.5711
Ge 2.5809 -4.0303 2.1749
Ge 1.7765 0.5513 0.0100
Tl 2.9863 -4.2404 -4.5003
Tl 2.4494 -2.5776 -0.7817
Tl 0.0095 -5.1811 -4.5277
Tl -0.5317 -3.5050 -0.7793
```

Output
Symmetry: C2/m (12)

## three
The following is a DFT calculation (PBE) of an optimized crystal structure of TiTlGe.

Cell and atoms, written as extended XYZ:
```
6
Lattice="-0.2089 -0.2138 3.6202 0.7471 -3.6413 -0.1720 9.4109 3.8470 -0.8232" Properties=species:S:1:pos:R:3 pbc="T T T"
Ge 1.0404 0.1667 0.9549
Ge 8.9087 -0.1747 1.6702
Ti 8.6265 1.7487 -0.0488
Ti 1.3225 -1.7568 2.6738
Tl 4.1307 -1.0833 0.3923
Tl 5.8184 1.0752 2.2327
```

Output
Symmetry: P-1 (2)

## four
The following is a DFT calculation (PBE) of an optimized crystal structure of TiTlGe.

Cell and atoms, written as extended XYZ:
```
12
Lattice="8.2627 0.0000 0.0000 0.0000 6.2481 0.0000 0.0000 0.0000 5.0848" Properties=species:S:1:pos:R:3 pbc="T T T"
Tl 6.1970 4.6861 2.5424
Tl 2.0657 1.5620 2.5424
Tl 6.1970 1.5620 2.5424
Tl 2.0657 4.6861 2.5424
Ti 5.8570 0.0000 0.0000
Ti 1.7256 3.1240 0.0000
Ti 6.5371 3.1240 0.0000
Ti 2.4057 0.0000 0.0000
Ge 0.0000 4.9910 0.0000
Ge 4.1313 4.3811 0.0000
Ge 0.0000 1.2571 0.0000
Ge 4.1313 1.8670 0.0000
```

Output
Symmetry: Cmmm (65)

What should be chosen as the most stable of them? Choose one.

## one
The following is a DFT calculation (PBE) of an optimized crystal structure of Ti3TlGe.

Cell and atoms, written as extended XYZ:
```
5
Lattice="5.0597 0.0000 0.0000 0.0000 5.0597 0.0000 0.0000 0.0000 5.0597" Properties=species:S:1:pos:R:3 pbc="T T T"
Ti 0.0000 2.5298 0.0000
Ti 0.0000 0.0000 2.5298
Ti 2.5298 0.0000 0.0000
Ge 2.5298 2.5298 2.5298
Tl 0.0000 0.0000 0.0000
```

Output
Symmetry: Pm-3m (221)

## two
The following is a DFT calculation (PBE) of an optimized crystal structure of Ti3TlGe.

Cell and atoms, written as extended XYZ:
```
5
Lattice="-3.8543 -0.6952 2.6667 1.7400 -4.1694 1.4279 2.1371 2.1408 3.6470" Properties=species:S:1:pos:R:3 pbc="T T T"
Ti 1.0685 1.0704 1.8235
Ti 0.8700 -2.0847 0.7140
Ti -1.9272 -0.3476 1.3334
Ge 0.0000 0.0000 0.0000
Tl 0.0114 -1.3619 3.8708
```

Output
Symmetry: Pm-3m (221)

What should be chosen as the most stable of them? Choose two.

## one
The following is a DFT calculation (PBE) of an optimized crystal structure of Ti2VGe4.

Cell and atoms, written as extended XYZ:
```
7
Lattice="-2.3501 -4.6867 1.1105 1.3318 -2.3828 4.6119 -2.8914 5.7429 -0.7383" Properties=species:S:1:pos:R:3 pbc="T T T"
Ge -1.8293 1.2920 1.2707
Ge -0.2050 -1.9362 1.6856
Ge -1.9171 -2.5163 3.8688
Ge -0.6509 -5.0317 4.1913
Ti -2.8565 -1.2274 1.6346
Ti -1.0156 -0.0755 3.3853
V 0.9689 -2.6098 4.2668
```

Output
Symmetry: I4mm (107)

## two
The following is a DFT calculation (PBE) of an optimized crystal structure of Ti2VGe4.

Cell and atoms, written as extended XYZ:
```
7
Lattice="-1.6320 3.7965 2.1744 -3.3854 -2.5658 1.9391 1.2586 -0.6064 7.0173" Properties=species:S:1:pos:R:3 pbc="T T T"
Ge -1.6927 -1.2829 0.9695
Ge -3.5587 0.7576 6.0341
Ge -0.8160 1.8982 1.0872
Ge -0.2001 -0.1334 5.0966
Ti -1.7241 0.3609 3.0898
Ti -2.0347 0.2634 8.0410
V 0.0000 0.0000 0.0000
```

Output
Symmetry: I4/mmm (139)

What should be chosen as the most stable of them? Choose one.